CoHgTe2 after structural relaxation, computed with PBE.

For the total energy, the calculation gives -23.9 eV per cell. The calculation puts the energy relative to the elements, uncorrected at 0.429 eV/atom.

The space group is C2/m (No. 12) and the conventional cell measures 6.194, 8.178 and 4.539 Å, with angles of 90.00, 118.60 and 90.00 degrees. The asymmetric unit holds Co at (0.000, 0.000, 0.000), Hg at (0.000, 0.500, 0.000) and Te at (0.250, 0.250, 0.500).

---

TlGa2TcPb after structural relaxation, computed with PBE.

For the total energy, the calculation gives -21.8 eV per cell.

The space group is P4/mmm (No. 123) and the conventional cell measures 4.948, 4.948 and 5.318 Å, with angles of 90.00, 90.00 and 90.00 degrees. The asymmetric unit holds Tl at (0.000, 0.000, 0.000), Ga at (0.000, 0.500, 0.500), Tc at (0.500, 0.500, 0.500) and Pb at (0.500, 0.500, 0.000).

---

KPuMnCl6 after structural relaxation, computed with PBE.

For the total energy, the calculation gives -101.3 eV per cell. The calculation puts the energy relative to the elements, uncorrected at -1.666 eV/atom.

The space group is P-31c (No. 163) and the conventional cell measures 6.8864, 6.8864 and 13.7936 Å, with angles of 90.00, 90.00 and 120.00 degrees. The asymmetric unit holds K at (0.0000, 0.0000, 0.0000), Pu at (0.3333, 0.6667, 0.2500), Mn at (0.3333, 0.6667, 0.7500) and Cl at (0.0193, 0.3763, 0.6432).

---

YTiTe2 after structural relaxation, computed with PBE.

For the total energy, the calculation gives -94.5 eV per cell. The value obtained for the excess energy over the best structure of this formula in the dataset is 0.0 meV per atom. The calculation puts the energy relative to the elements, uncorrected at -0.744 eV/atom.

The space group is Fm-3m (No. 225) and the conventional cell measures 7.274, 7.274 and 7.274 Å, with angles of 90.00, 90.00 and 90.00 degrees. The asymmetric unit holds Y at (0.000, 0.000, 0.000), Ti at (0.000, 0.000, 0.500) and Te at (0.250, 0.250, 0.250).

---

CsBaDyCl6 after structural relaxation, computed with PBE.

For the total energy, the calculation gives -78.8 eV per cell. The calculation puts the energy relative to the elements, uncorrected at -2.329 eV/atom.

The space group is P-31c (No. 163) and the conventional cell measures 7.7256, 7.7256 and 14.3320 Å, with angles of 90.00, 90.00 and 120.00 degrees. The asymmetric unit holds Cs at (0.0000, 0.0000, 0.0000), Ba at (0.3333, 0.6667, 0.2500), Dy at (0.3333, 0.6667, 0.7500) and Cl at (0.0417, 0.3955, 0.6433).

---

IrC3 after structural relaxation, computed with PBE.

For the total energy, the calculation gives -26.4 eV per cell. The value obtained for the excess energy over the best structure of this formula in the dataset is 1812.1 meV per atom.

The space group is P4/mmm (No. 123) and the conventional cell measures 2.965, 2.965 and 4.070 Å, with angles of 90.00, 90.00 and 90.00 degrees. The asymmetric unit holds Ir at (0.000, 0.000, 0.000), C at (0.000, 0.000, 0.500) and C at (0.500, 0.500, 0.329).

---

Ta4NbS8 after structural relaxation, computed with PBE.

For the total energy, the calculation gives -399.3 eV per cell. The calculation puts the energy relative to the elements, uncorrected at -0.718 eV/atom.

The space group is F-43m (No. 216) and the conventional cell measures 10.243, 10.243 and 10.243 Å, with angles of 90.00, 90.00 and 90.00 degrees. The asymmetric unit holds Ta at (0.121, 0.121, 0.121), Nb at (0.250, 0.250, 0.750), S at (0.120, 0.120, 0.880) and S at (0.132, 0.132, 0.368).

---

AlWAu2 after structural relaxation, computed with PBE.

For the total energy, the calculation gives -45.0 eV per cell.

The space group is Cmmm (No. 65) and the conventional cell measures 5.597, 8.485 and 2.818 Å, with angles of 90.00, 90.00 and 90.00 degrees. The asymmetric unit holds Al at (0.000, 0.000, 0.000), W at (0.000, 0.500, 0.000) and Au at (0.250, 0.250, 0.500).

---

- Which of these has the lowest total energy?
  Ta4NbS8

---

- total energy of number 2 (TlGa2TcPb)?
  -21.8 eV per cell

---

What did the eighth record say?
AlWAu2 after structural relaxation, computed with PBE.

For the total energy, the calculation gives -45.0 eV per cell.

The space group is Cmmm (No. 65) and the conventional cell measures 5.597, 8.485 and 2.818 Å, with angles of 90.00, 90.00 and 90.00 degrees. The asymmetric unit holds Al at (0.000, 0.000, 0.000), W at (0.000, 0.500, 0.000) and Au at (0.250, 0.250, 0.500).